Entry 1:
Na2Ga4GeAu3: optimized geometry, PBE.

Its calculated volume is 210.6 Å³/cell. The calculated total energy comes out at -3.170 eV per atom. The value obtained for the density of states at the Fermi level is 3.41 states/eV/cell.

The structure belongs to space group P-4m2 (No. 115); the cell edges are 4.324, 4.324 and 11.268 Å and the angles 90.00°, 90.00° and 90.00°. Symmetry generates all atoms from Na at (0.000, 0.500, 0.249), Ga at (0.000, 0.000, 0.000), Ga at (0.000, 0.500, 0.638), Ga at (0.500, 0.500, 0.000), Ge at (0.000, 0.000, 0.500), Au at (0.000, 0.500, 0.862) and Au at (0.500, 0.500, 0.500).

Entry 2:
NaGaGeAu3: optimized geometry, PBE.

Its calculated volume is 604.7 Å³/cell. The calculated total energy comes out at -3.238 eV per atom. The value obtained for the density of states at the Fermi level is 9.41 states/eV/cell.

The structure belongs to space group Cmcm (No. 63); the cell edges are 7.005, 13.911 and 6.205 Å and the angles 90.00°, 90.00° and 90.00°. Symmetry generates all atoms from Na at (0.000, 0.207, 0.250), Ga at (0.000, 0.462, 0.750), Ge at (0.000, 0.104, 0.750), Au at (0.000, 0.282, 0.750) and Au at (0.213, 0.000, 0.000).